# ScZnNiHg PBE-GGA optimized geometry
data_ScZnNiHg
_symmetry_space_group_name_H-M 'P 1'
_symmetry_Int_Tables_number 1
_cell_length_a 4.5759
_cell_length_b 4.5759
_cell_length_c 4.5759
_cell_angle_alpha 60.00
_cell_angle_beta 60.00
_cell_angle_gamma 60.00
loop_
_symmetry_equiv_pos_as_xyz
'x,y,z'
loop_
_atom_site_label
_atom_site_fract_x
_atom_site_fract_y
_atom_site_fract_z
Sc1 0.0000 0.0000 0.0000
Ni1 0.2500 0.2500 0.2500
Zn1 0.5000 0.5000 0.5000
Hg1 0.7500 0.7500 0.7500
# Calculated volume, Å³ per cell: 68
# Symmetry: F-43m, No. 216
# N(E_F), states/eV/f.u.: 2.79
# Energy of formation from the pure elements, eV/atom: -0.2164
# Raw total energy, eV/cell: -14.55